! LaCoGe (PBE-GGA, optimized geometry); values from VASP
! Total magnetic moment: 1.3 μB/f.u.
! E_tot: -17.53 eV/cell
&SYSTEM
  ibrav = 0, nat = 3, ntyp = 3
/
ATOMIC_SPECIES
La 138.91 La.upf
Co 58.93 Co.upf
Ge 72.64 Ge.upf
CELL_PARAMETERS angstrom
0.000 3.179 3.179
3.179 0.000 3.179
3.179 3.179 0.000
ATOMIC_POSITIONS crystal
La 0.000 0.000 0.000
Co 0.750 0.750 0.750
Ge 0.500 0.500 0.500